Entry 1:
Here is a geometry-optimized LaBeAl structure from Alexandria. Energies are from GGA-PBE.

Computed properties:
- N(E_F): 2.11 states/eV per cell
- Size of the total moment: 0.000 μB per atom
- Mass density: 4.8 g cm⁻³
- Offset from the most stable computed form: 258 meV/atom
- Calculated volume: 60 Å³ per cell

Cell lengths 6.197, 6.197, 6.197 Å; angles 149.81, 149.56, 43.40 degrees
Sites, in units of the cell vectors:
Be1 0.363 0.363 0.000
Al1 0.963 0.963 0.000
La1 0.673 0.673 0.000

---

Entry 2:
Here is a geometry-optimized MnSn2BiSe5 structure from Alexandria. Energies are from GGA-PBE.

Computed properties:
- E_form (uncorrected): -34.8 kJ/mol of atoms
- N(E_F): 6.16 states/eV per cell
- Size of the total moment: 0.445 μB per atom
- Mass density: 5.8 g cm⁻³
- Calculated volume: 510 Å³ per cell

Cell lengths 4.128, 9.560, 13.234 Å; angles 90.00, 90.00, 102.47 degrees
Last column: magnetic moment on the atom in μB.
Sites, in units of the cell vectors:
Mn1 0.574 0.148 0.875  3.67
Mn2 0.426 0.852 0.375  3.67
Sn1 0.913 0.826 0.861  0.02
Sn2 0.145 0.290 0.704  0.01
Sn3 0.087 0.174 0.361  0.02
Sn4 0.855 0.710 0.204  0.01
Bi1 0.790 0.579 0.541  0.02
Bi2 0.210 0.421 0.041  0.02
Se1 0.360 0.719 0.051  0.00
Se2 0.704 0.408 0.876  -0.02
Se3 0.479 0.959 0.750  -0.02
Se4 0.292 0.584 0.695  0.00
Se5 0.959 0.918 0.473  -0.02
Se6 0.640 0.281 0.551  0.00
Se7 0.296 0.592 0.376  -0.02
Se8 0.521 0.041 0.250  -0.02
Se9 0.708 0.416 0.195  0.00
Se10 0.041 0.082 0.973  -0.02

---

Entry 3:
Here is a geometry-optimized Cs2Hg12Pb5 structure from Alexandria. Energies are from GGA-PBE.

Computed properties:
- N(E_F): 7.59 states/eV per cell
- Size of the total moment: 0.000 μB per atom
- Mass density: 10.2 g cm⁻³
- Calculated total energy: -0.0492 Ha/atom
- Calculated volume: 603 Å³ per cell

Cell lengths 8.561, 8.561, 8.561 Å; angles 80.24, 80.24, 80.24 degrees
Sites, in units of the cell vectors:
Cs1 0.662 0.662 0.662
Cs2 0.338 0.338 0.338
Hg1 0.294 0.706 0.000
Hg2 0.706 0.000 0.294
Hg3 0.000 0.294 0.706
Hg4 0.706 0.294 0.000
Hg5 0.294 0.000 0.706
Hg6 0.000 0.706 0.294
Hg7 0.366 0.366 0.841
Hg8 0.366 0.841 0.366
Hg9 0.841 0.366 0.366
Hg10 0.634 0.159 0.634
Hg11 0.634 0.634 0.159
Hg12 0.159 0.634 0.634
Pb1 0.000 0.000 0.500
Pb2 0.000 0.500 0.000
Pb3 0.500 0.000 0.000
Pb4 0.905 0.905 0.905
Pb5 0.095 0.095 0.095

---

Entry 4:
Here is a geometry-optimized Zr2CoAs structure from Alexandria. Energies are from GGA-PBE.

Computed properties:
- N(E_F): 3.23 states/eV per cell
- Size of the total moment: 0.318 μB per atom
- Mass density: 7.4 g cm⁻³
- Calculated total energy: -0.2823 Ha/atom
- Calculated volume: 71 Å³ per cell

Cell lengths 4.241, 4.692, 3.555 Å; angles 90.00, 90.00, 90.00 degrees
Last column: magnetic moment on the atom in μB.
Sites, in units of the cell vectors:
As1 0.500 0.000 0.500  0.03
Co1 0.000 0.500 0.500  1.13
Zr1 0.000 0.000 0.000  0.09
Zr2 0.500 0.500 0.000  0.01

---

Entry 5:
Here is a geometry-optimized Hf4PbS8 structure from Alexandria. Energies are from GGA-PBE.

Computed properties:
- E_form (uncorrected): -136.6 kJ/mol of atoms
- N(E_F): 5.54 states/eV per cell
- Size of the total moment: 0.000 μB per atom
- Mass density: 6.0 g cm⁻³
- Offset from the most stable computed form: 0 meV/atom
- Calculated volume: 324 Å³ per cell

Cell lengths 7.206, 7.206, 8.316 Å; angles 64.33, 64.33, 60.00 degrees
Sites, in units of the cell vectors:
Hf1 0.000 0.500 0.000
Hf2 0.500 0.500 0.000
Hf3 0.500 0.000 0.000
Hf4 0.000 0.000 0.000
Pb1 0.500 0.500 0.500
S1 0.738 0.236 0.790
S2 0.764 0.262 0.210
S3 0.262 0.764 0.210
S4 0.764 0.764 0.210
S5 0.735 0.735 0.796
S6 0.265 0.265 0.204
S7 0.236 0.236 0.790
S8 0.236 0.738 0.790

---

Entry 6:
Here is a geometry-optimized TiMn2HRu structure from Alexandria. Energies are from GGA-PBE.

Computed properties:
- N(E_F): 4.63 states/eV per cell
- Size of the total moment: 0.877 μB per atom
- Mass density: 7.7 g cm⁻³
- Offset from the most stable computed form: 33 meV/atom
- Calculated volume: 56 Å³ per cell

Cell lengths 3.706, 3.706, 4.055 Å; angles 90.00, 90.00, 90.00 degrees
Last column: magnetic moment on the atom in μB.
Sites, in units of the cell vectors:
Ru1 0.000 0.000 0.500  0.18
Mn1 0.000 0.500 0.000  2.12
Mn2 0.500 0.000 0.000  2.12
H1 0.000 0.000 0.000  -0.02
Ti1 0.500 0.500 0.500  -0.18

---

Entry 7:
Here is a geometry-optimized Li2TcIrSe structure from Alexandria. Energies are from GGA-PBE.

Computed properties:
- E_form (uncorrected): 60.2 kJ/mol of atoms
- N(E_F): 2.18 states/eV per cell
- Size of the total moment: 0.778 μB per atom
- Mass density: 7.0 g cm⁻³
- Calculated volume: 91 Å³ per cell

Cell lengths 4.336, 4.832, 4.336 Å; angles 90.00, 90.00, 90.00 degrees
Last column: magnetic moment on the atom in μB.
Sites, in units of the cell vectors:
Ir1 0.000 0.500 0.000  0.32
Tc1 0.500 0.500 0.500  3.07
Se1 0.000 0.000 0.000  0.06
Li1 0.000 0.000 0.500  0.00
Li2 0.500 0.000 0.000  -0.01

---

Entry 8:
Here is a geometry-optimized LaAuC structure from Alexandria. Energies are from GGA-PBE.

Computed properties:
- N(E_F): 2.72 states/eV per cell
- Size of the total moment: 0.000 μB per atom
- Mass density: 9.2 g cm⁻³
- Calculated total energy: -0.2282 Ha/atom
- Calculated volume: 126 Å³ per cell

Cell lengths 7.862, 4.772, 4.066 Å; angles 115.13, 75.11, 79.32 degrees
Sites, in units of the cell vectors:
C1 0.338 0.901 0.116
C2 0.257 0.671 0.041
Au1 0.753 0.616 0.765
Au2 0.843 0.957 0.391
La1 0.495 0.365 0.269
La2 0.100 0.208 0.887

---

Entry 9:
Here is a geometry-optimized RbVCo2Hg structure from Alexandria. Energies are from GGA-PBE.

Computed properties:
- N(E_F): 13.99 states/eV per cell
- Size of the total moment: 0.755 μB per atom
- Mass density: 5.8 g cm⁻³
- Calculated total energy: -0.1200 Ha/atom
- Calculated volume: 131 Å³ per cell

Cell lengths 5.072, 5.075, 5.072 Å; angles 90.00, 90.00, 90.00 degrees
Last column: magnetic moment on the atom in μB.
Sites, in units of the cell vectors:
Co1 0.000 0.000 0.500  1.91
Co2 0.500 0.000 0.000  1.88
Hg1 0.000 0.000 0.000  -0.02
Rb1 0.500 0.500 0.500  -0.02
V1 0.000 0.500 0.000  0.12

---

Among the records above, which one has the highest N(E_F)?
RbVCo2Hg